Compound: BaHg4Pb
Source: Alexandria via LeMat-Bulk
Functional: PBEsol
Structure: relaxed

The structure belongs to space group F-43m (No. 216); the cell edges are 8.667, 8.667 and 8.667 Å and the angles 90.00°, 90.00° and 90.00°. The asymmetric unit holds Ba at (0.000, 0.000, 0.000), Hg at (0.125, 0.125, 0.375) and Pb at (0.250, 0.250, 0.750).

Its density of states at the Fermi level is 0.55 states/eV/atom. For the formation energy, the calculation gives -1.771 eV per formula unit.

Compound: BaHgPb4
Source: Alexandria via LeMat-Bulk
Functional: PBEsol
Structure: relaxed

The structure belongs to space group F-43m (No. 216); the cell edges are 9.148, 9.148 and 9.148 Å and the angles 90.00°, 90.00° and 90.00°. The asymmetric unit holds Ba at (0.000, 0.000, 0.000), Hg at (0.250, 0.250, 0.250) and Pb at (0.125, 0.125, 0.625).

Its density of states at the Fermi level is 0.50 states/eV/atom. For the formation energy, the calculation gives -1.209 eV per formula unit.

Compound: BaHgPb
Source: Alexandria via LeMat-Bulk
Functional: PBEsol
Structure: relaxed

The structure belongs to space group C2/m (No. 12); the cell edges are 12.000, 5.241 and 8.418 Å and the angles 90.00°, 133.69° and 90.00°. The asymmetric unit holds Ba at (0.047, 0.000, 0.303), Hg at (0.161, 0.500, 0.707) and Pb at (0.163, 0.500, 0.089).

Its density of states at the Fermi level is 0.19 states/eV/atom. For the formation energy, the calculation gives -1.662 eV per formula unit.

Compound: Ba2HgPb
Source: Alexandria via LeMat-Bulk
Functional: PBEsol
Structure: relaxed

The structure belongs to space group Pmm2 (No. 25); the cell edges are 4.142, 5.769 and 5.998 Å and the angles 90.00°, 90.00° and 90.00°. The asymmetric unit holds Ba at (0.000, 0.000, 0.000), Ba at (0.000, 0.500, 0.439), Hg at (0.500, 0.000, 0.518) and Pb at (0.500, 0.500, 0.919).

Its density of states at the Fermi level is 0.52 states/eV/atom. For the formation energy, the calculation gives -2.235 eV per formula unit.

Compound: BaHgPb
Source: Alexandria via LeMat-Bulk
Functional: PBEsol
Structure: relaxed

The structure belongs to space group F-43m (No. 216); the cell edges are 7.474, 7.474 and 7.474 Å and the angles 90.00°, 90.00° and 90.00°. The asymmetric unit holds Ba at (0.000, 0.000, 0.000), Hg at (0.250, 0.250, 0.750) and Pb at (0.000, 0.000, 0.500).

Its density of states at the Fermi level is 0.14 states/eV/atom. For the formation energy, the calculation gives -1.413 eV per formula unit.

Compound: BaHgPb
Source: Alexandria via LeMat-Bulk
Functional: PBEsol
Structure: relaxed

The structure belongs to space group P3m1 (No. 156); the cell edges are 4.9696, 4.9696 and 4.8238 Å and the angles 90.00°, 90.00° and 120.00°. The asymmetric unit holds Ba at (0.0000, 0.0000, 0.0000), Hg at (0.3333, 0.6667, 0.4499) and Pb at (0.6667, 0.3333, 0.5322).

Its density of states at the Fermi level is 0.71 states/eV/atom. For the formation energy, the calculation gives -1.472 eV per formula unit.

Compound: BaHg2Pb2
Source: Alexandria via LeMat-Bulk
Functional: PBEsol
Structure: relaxed

The structure belongs to space group I4/mmm (No. 139); the cell edges are 5.240, 5.240 and 11.431 Å and the angles 90.00°, 90.00° and 90.00°. The asymmetric unit holds Ba at (0.000, 0.000, 0.000), Hg at (0.000, 0.500, 0.250) and Pb at (0.000, 0.000, 0.371).

Its density of states at the Fermi level is 0.32 states/eV/atom. For the formation energy, the calculation gives -1.607 eV per formula unit.

Compound: Ba2HgPb
Source: Alexandria via LeMat-Bulk
Functional: PBEsol
Structure: relaxed

The structure belongs to space group Fm-3m (No. 225); the cell edges are 8.344, 8.344 and 8.344 Å and the angles 90.00°, 90.00° and 90.00°. The asymmetric unit holds Ba at (0.250, 0.250, 0.250), Hg at (0.000, 0.000, 0.000) and Pb at (0.000, 0.000, 0.500).

Its density of states at the Fermi level is 0.20 states/eV/atom. For the formation energy, the calculation gives -2.440 eV per formula unit.

Listing E_tot for the structures above in their given order: -1.698; -3.320; -2.792; -2.775; -2.709; -2.729; -2.577; -2.826 eV per atom.